Material: LaMg2Re
Method: DFT, PBE-GGA
State: optimized geometry

Summary:
Its energy above the most stable polymorph in this dataset is 92 meV/atom. Its magnetic moment is 0.0 Bohr magnetons per cell. The energy relative to the elements is 0.39 eV per atom.

Unit cell a=3.1092 b=4.8781 c=13.3773 alpha=90.00 beta=90.00 gamma=90.00
Space group Imm2 (No. 44)
One atom of each set of equivalent atoms:
La  0.0000  0.0000  0.0000 x2
Mg  0.0000  0.0000  0.3430 x2
Mg  0.0000  0.5000  0.1895 x2
Re  0.0000  0.5000  0.6743 x2